Entry 1:
First-principles (GGA-PBEsol) data for a geometry-optimized NiRh2 structure, as listed in Alexandria via LeMat-Bulk.

Cell and atoms, written as POSCAR:
```
NiRh2
1.0
2.649 0.000 0.000
0.000 2.649 0.000
0.000 0.000 10.707
Rh Ni
4 2
Direct
0.500 0.000 0.235
0.000 0.500 0.765
0.500 0.000 0.589
0.000 0.500 0.411
0.000 0.500 0.073
0.500 0.000 0.927
```

- V: 12.53 A^3/atom
- Size of the total moment: 1.21 μB/cell
- Polymorph energy (0 for the lowest one): 5 meV/atom
- DFT formation energy: 39 meV/atom
- SG: P4/nmm, No. 129

***

Entry 2:
First-principles (GGA-PBEsol) data for a geometry-optimized BaTlRh2 structure, as listed in Alexandria via LeMat-Bulk.

Cell and atoms, written as POSCAR:
```
BaTlRh2
1.0
-0.224 3.688 -3.195
-3.347 -0.043 -3.548
-3.745 3.122 0.133
Ba Rh Tl
1 2 1
Direct
0.500 0.000 0.000
0.751 0.249 0.249
0.249 0.751 0.751
0.000 0.500 0.500
```

- V: 20.52 A^3/atom
- Size of the total moment: 0.00 μB/cell
- DFT formation energy: 169 meV/atom
- SG: Immm, No. 71

***

Entry 3:
First-principles (GGA-PBEsol) data for a geometry-optimized SrCd2 structure, as listed in Alexandria via LeMat-Bulk.

Cell and atoms, written as POSCAR:
```
SrCd2
1.0
-2.381 -4.446 1.222
-0.811 -1.044 -5.379
5.379 -2.203 2.468
Cd Sr
4 2
Direct
0.250 0.481 0.614
0.750 0.519 0.386
0.750 0.133 0.614
0.250 0.867 0.386
0.750 0.773 0.000
0.250 0.227 0.000
```

- V: 27.19 A^3/atom
- Size of the total moment: 0.00 μB/cell
- DFT formation energy: -250 meV/atom
- SG: Cmcm, No. 63

***

Entry 4:
First-principles (GGA-PBEsol) data for a geometry-optimized ScTl2Cd structure, as listed in Alexandria via LeMat-Bulk.

Cell and atoms, written as POSCAR:
```
ScTl2Cd
1.0
-1.250 -0.815 -3.085
4.775 -0.721 -1.745
-1.692 -4.398 3.750
Cd Tl Sc
1 2 1
Direct
0.513 0.450 0.025
0.752 0.307 0.504
0.989 0.927 0.978
0.247 0.816 0.493
```

- V: 23.43 A^3/atom
- Size of the total moment: 0.00 μB/cell
- Polymorph energy (0 for the lowest one): 83 meV/atom
- DFT formation energy: -130 meV/atom
- SG: Cm, No. 8

***

Entry 5:
First-principles (GGA-PBEsol) data for a geometry-optimized CaHgRh structure, as listed in Alexandria via LeMat-Bulk.

Cell and atoms, written as POSCAR:
```
CaHgRh
1.0
3.457 0.000 0.000
0.000 3.457 0.000
-1.729 -1.729 5.001
Hg Rh Ca
1 1 1
Direct
0.314 0.314 0.628
0.676 0.676 0.353
0.009 0.009 0.019
```

- V: 19.92 A^3/atom
- Size of the total moment: 0.00 μB/cell
- DFT formation energy: -245 meV/atom
- SG: I4mm, No. 107

***

Entry 6:
First-principles (GGA-PBEsol) data for a geometry-optimized Zn2FeRh structure, as listed in Alexandria via LeMat-Bulk.

Cell and atoms, written as POSCAR:
```
Zn2FeRh
1.0
2.600 -0.012 0.000
-1.015 2.394 0.000
0.000 0.000 8.270
Zn Rh Fe
2 1 1
Direct
0.000 0.000 0.255
0.000 0.000 0.745
0.500 0.500 0.000
0.500 0.500 0.500
```

- V: 12.85 A^3/atom
- Size of the total moment: 2.27 μB/cell
- DFT formation energy: -21 meV/atom
- SG: Cmmm, No. 65

***

Entry 7:
First-principles (GGA-PBEsol) data for a geometry-optimized LaAl2Os structure, as listed in Alexandria via LeMat-Bulk.

Cell and atoms, written as POSCAR:
```
LaAl2Os
1.0
-1.808 -1.515 2.235
2.152 -2.434 0.090
3.646 3.418 5.266
Al Os La
2 1 1
Direct
0.500 0.500 0.187
0.000 0.000 0.966
0.500 0.500 0.817
0.000 0.000 0.529
```

- V: 19.17 A^3/atom
- Size of the total moment: 0.00 μB/cell
- DFT formation energy: -212 meV/atom
- SG: P4mm, No. 99

***

Entry 8:
First-principles (GGA-PBEsol) data for a geometry-optimized Dy2TlZn structure, as listed in Alexandria via LeMat-Bulk.

Cell and atoms, written as POSCAR:
```
Dy2TlZn
1.0
5.124 0.000 0.000
2.562 4.438 0.000
2.562 1.479 4.184
Tl Dy Zn
1 2 1
Direct
0.500 0.500 0.500
0.250 0.250 0.250
0.750 0.750 0.750
0.000 0.000 0.000
```

- V: 23.78 A^3/atom
- Size of the total moment: 0.00 μB/cell
- DFT formation energy: -368 meV/atom
- SG: Fm-3m, No. 225

***

Entry 9:
First-principles (GGA-PBEsol) data for a geometry-optimized PdF2 structure, as listed in Alexandria via LeMat-Bulk.

Cell and atoms, written as POSCAR:
```
PdF2
1.0
3.455 0.000 0.000
0.000 4.812 0.000
0.000 0.000 4.812
F Pd
4 2
Direct
0.500 0.806 0.194
0.500 0.194 0.806
0.000 0.306 0.306
0.000 0.694 0.694
0.500 0.500 0.500
0.000 0.000 0.000
```

- V: 13.33 A^3/atom
- Size of the total moment: 0.00 μB/cell
- SG: P4_2/mnm, No. 136
- Raw formation energy: -1.0455 eV/atom

***

Entry 10:
First-principles (GGA-PBEsol) data for a geometry-optimized BaReSb structure, as listed in Alexandria via LeMat-Bulk.

Cell and atoms, written as POSCAR:
```
BaReSb
1.0
4.496 0.000 0.000
-2.248 3.894 0.000
0.000 0.000 5.014
Re Ba Sb
1 1 1
Direct
0.333 0.667 0.500
0.000 0.000 0.000
0.667 0.333 0.500
```

- V: 29.27 A^3/atom
- Size of the total moment: 0.00 μB/cell
- SG: P-6m2, No. 187
- Raw formation energy: 0.3867 eV/atom

***

Entry 11:
First-principles (GGA-PBEsol) data for a geometry-optimized Rb3As11 structure, as listed in Alexandria via LeMat-Bulk.

Cell and atoms, written as POSCAR:
```
Rb3As11
1.0
10.541 0.000 0.000
0.000 11.031 0.000
0.000 0.000 15.521
As Rb
44 12
Direct
0.063 0.124 0.214
0.167 0.922 0.377
0.667 0.922 0.623
0.333 0.078 0.377
0.093 0.932 0.135
0.015 0.953 0.651
0.285 0.312 0.742
0.785 0.312 0.258
0.667 0.578 0.123
0.407 0.432 0.635
0.215 0.688 0.742
0.063 0.376 0.714
0.593 0.568 0.365
0.785 0.188 0.758
0.593 0.932 0.865
0.937 0.624 0.286
0.167 0.578 0.877
0.563 0.124 0.786
0.437 0.624 0.714
0.715 0.812 0.758
0.833 0.078 0.623
0.485 0.453 0.151
0.515 0.547 0.849
0.250 0.500 0.533
0.907 0.432 0.365
0.515 0.953 0.349
0.833 0.422 0.123
0.250 0.000 0.033
0.485 0.047 0.651
0.937 0.876 0.786
0.907 0.068 0.865
0.750 0.500 0.467
0.985 0.453 0.849
0.563 0.376 0.286
0.715 0.688 0.258
0.407 0.068 0.135
0.437 0.876 0.214
0.015 0.547 0.151
0.093 0.568 0.635
0.985 0.047 0.349
0.215 0.812 0.242
0.333 0.422 0.877
0.750 0.000 0.967
0.285 0.188 0.242
0.106 0.285 0.021
0.394 0.785 0.521
0.606 0.285 0.979
0.750 0.000 0.191
0.106 0.215 0.521
0.394 0.715 0.021
0.250 0.500 0.309
0.250 0.000 0.809
0.606 0.215 0.479
0.894 0.785 0.479
0.894 0.715 0.979
0.750 0.500 0.691
```

- V: 32.23 A^3/atom
- Size of the total moment: 0.00 μB/cell
- DFT formation energy: -218 meV/atom
- SG: Pbcn, No. 60

***

Entry 12:
First-principles (GGA-PBEsol) data for a geometry-optimized HfS structure, as listed in Alexandria via LeMat-Bulk.

Cell and atoms, written as POSCAR:
```
HfS
1.0
3.352 0.000 0.000
-1.676 2.903 0.000
0.000 0.000 3.405
Hf S
1 1
Direct
0.000 0.000 0.000
0.333 0.667 0.500
```

- V: 16.57 A^3/atom
- Size of the total moment: 0.00 μB/cell
- SG: P-6m2, No. 187
- Raw formation energy: -1.6613 eV/atom

***

Repeat the seventh record exactly.
First-principles (GGA-PBEsol) data for a geometry-optimized LaAl2Os structure, as listed in Alexandria via LeMat-Bulk.

Cell and atoms, written as POSCAR:
```
LaAl2Os
1.0
-1.808 -1.515 2.235
2.152 -2.434 0.090
3.646 3.418 5.266
Al Os La
2 1 1
Direct
0.500 0.500 0.187
0.000 0.000 0.966
0.500 0.500 0.817
0.000 0.000 0.529
```

- V: 19.17 A^3/atom
- Size of the total moment: 0.00 μB/cell
- DFT formation energy: -212 meV/atom
- SG: P4mm, No. 99

***

Among the records above, which one has the highest V?
Rb3As11

***

Repeat the first record exactly.
First-principles (GGA-PBEsol) data for a geometry-optimized NiRh2 structure, as listed in Alexandria via LeMat-Bulk.

Cell and atoms, written as POSCAR:
```
NiRh2
1.0
2.649 0.000 0.000
0.000 2.649 0.000
0.000 0.000 10.707
Rh Ni
4 2
Direct
0.500 0.000 0.235
0.000 0.500 0.765
0.500 0.000 0.589
0.000 0.500 0.411
0.000 0.500 0.073
0.500 0.000 0.927
```

- V: 12.53 A^3/atom
- Size of the total moment: 1.21 μB/cell
- Polymorph energy (0 for the lowest one): 5 meV/atom
- DFT formation energy: 39 meV/atom
- SG: P4/nmm, No. 129

***

Which of these has the highest V?
Rb3As11